[1]
A relaxed structure of PuRhPb2. Source: Alexandria via LeMat-Bulk, functional GGA-PBE.

```
data_PuRhPb2
_symmetry_space_group_name_H-M 'P 1'
_symmetry_Int_Tables_number 1
_symmetry_space_group_name_Hall 'P 1'
_cell_length_a 3.443
_cell_length_b 3.443
_cell_length_c 7.825
_cell_angle_alpha 90.00
_cell_angle_beta 90.00
_cell_angle_gamma 90.00
loop_
_atom_site_label
_atom_site_type_symbol
_atom_site_fract_x
_atom_site_fract_y
_atom_site_fract_z
Pu1 Pu 0.000 0.000 0.000
Rh1 Rh 0.000 0.000 0.500
Pb1 Pb 0.500 0.500 0.292
Pb2 Pb 0.500 0.500 0.708
```

## Properties
Formation energy from the elements, eV/f.u.: -0.3

[2]
A relaxed structure of Cs2CuMo. Source: Alexandria via LeMat-Bulk, functional GGA-PBE.

```
data_Cs2CuMo
_symmetry_space_group_name_H-M 'P 1'
_symmetry_Int_Tables_number 1
_symmetry_space_group_name_Hall 'P 1'
_cell_length_a 8.251
_cell_length_b 8.251
_cell_length_c 8.251
_cell_angle_alpha 90.00
_cell_angle_beta 90.00
_cell_angle_gamma 90.00
loop_
_atom_site_label
_atom_site_type_symbol
_atom_site_fract_x
_atom_site_fract_y
_atom_site_fract_z
Cs1 Cs 0.250 0.250 0.250
Cs2 Cs 0.250 0.250 0.750
Cs3 Cs 0.250 0.750 0.250
Cs4 Cs 0.250 0.750 0.750
Cs5 Cs 0.750 0.250 0.250
Cs6 Cs 0.750 0.250 0.750
Cs7 Cs 0.750 0.750 0.250
Cs8 Cs 0.750 0.750 0.750
Cu1 Cu 0.000 0.000 0.000
Cu2 Cu 0.000 0.500 0.500
Cu3 Cu 0.500 0.000 0.500
Cu4 Cu 0.500 0.500 0.000
Mo1 Mo 0.000 0.000 0.500
Mo2 Mo 0.000 0.500 0.000
Mo3 Mo 0.500 0.000 0.000
Mo4 Mo 0.500 0.500 0.500
```

## Properties
Formation energy from the elements, eV/f.u.: 6.2

[3]
A relaxed structure of Gd2GaSn. Source: Alexandria via LeMat-Bulk, functional GGA-PBE.

```
data_Gd2GaSn
_symmetry_space_group_name_H-M 'P 1'
_symmetry_Int_Tables_number 1
_symmetry_space_group_name_Hall 'P 1'
_cell_length_a 4.820
_cell_length_b 4.820
_cell_length_c 4.372
_cell_angle_alpha 90.00
_cell_angle_beta 90.00
_cell_angle_gamma 90.00
loop_
_atom_site_label
_atom_site_type_symbol
_atom_site_fract_x
_atom_site_fract_y
_atom_site_fract_z
Gd1 Gd 0.000 0.500 0.000
Gd2 Gd 0.500 0.000 0.000
Ga1 Ga 0.000 0.000 0.500
Sn1 Sn 0.500 0.500 0.500
```

## Properties
Formation energy from the elements, eV/f.u.: -2.5

[4]
A relaxed structure of BiPS4. Source: Alexandria via LeMat-Bulk, functional GGA-PBE.

```
data_BiPS4
_symmetry_space_group_name_H-M 'P 1'
_symmetry_Int_Tables_number 1
_symmetry_space_group_name_Hall 'P 1'
_cell_length_a 5.946
_cell_length_b 9.444
_cell_length_c 5.975
_cell_angle_alpha 90.00
_cell_angle_beta 104.45
_cell_angle_gamma 90.00
loop_
_atom_site_label
_atom_site_type_symbol
_atom_site_fract_x
_atom_site_fract_y
_atom_site_fract_z
Bi1 Bi 0.124 0.250 0.116
Bi2 Bi 0.876 0.750 0.884
P1 P 0.265 0.750 0.414
P2 P 0.735 0.250 0.586
S1 S 0.070 0.580 0.248
S2 S 0.070 0.920 0.248
S3 S 0.285 0.750 0.766
S4 S 0.406 0.250 0.610
S5 S 0.594 0.750 0.390
S6 S 0.715 0.250 0.234
S7 S 0.930 0.080 0.752
S8 S 0.930 0.420 0.752
```

## Properties
Energy relative to the lowest polymorph listed for this composition, eV/f.u.: 0.49
Formation energy without anion corrections, eV/atom: -0.215

[5]
A relaxed structure of NaTePb2Br. Source: Alexandria via LeMat-Bulk, functional GGA-PBE.

```
data_NaTePb2Br
_symmetry_space_group_name_H-M 'P 1'
_symmetry_Int_Tables_number 1
_symmetry_space_group_name_Hall 'P 1'
_cell_length_a 5.762
_cell_length_b 5.762
_cell_length_c 6.061
_cell_angle_alpha 90.00
_cell_angle_beta 90.00
_cell_angle_gamma 90.00
loop_
_atom_site_label
_atom_site_type_symbol
_atom_site_fract_x
_atom_site_fract_y
_atom_site_fract_z
Na1 Na 0.000 0.000 0.000
Te1 Te 0.500 0.500 0.000
Pb1 Pb 0.000 0.500 0.500
Pb2 Pb 0.500 0.000 0.500
Br1 Br 0.500 0.500 0.500
```

## Properties
Formation energy without anion corrections, eV/atom: 0.232

[6]
A relaxed structure of Sm12TlIn6. Source: Alexandria via LeMat-Bulk, functional GGA-PBE.

```
data_Sm12TlIn6
_symmetry_space_group_name_H-M 'P 1'
_symmetry_Int_Tables_number 1
_symmetry_space_group_name_Hall 'P 1'
_cell_length_a 8.966
_cell_length_b 8.966
_cell_length_c 8.966
_cell_angle_alpha 107.34
_cell_angle_beta 107.34
_cell_angle_gamma 107.34
loop_
_atom_site_label
_atom_site_type_symbol
_atom_site_fract_x
_atom_site_fract_y
_atom_site_fract_z
Sm1 Sm 0.098 0.183 0.435
Sm2 Sm 0.158 0.615 0.465
Sm3 Sm 0.183 0.435 0.098
Sm4 Sm 0.385 0.535 0.842
Sm5 Sm 0.435 0.098 0.183
Sm6 Sm 0.465 0.158 0.615
Sm7 Sm 0.535 0.842 0.385
Sm8 Sm 0.565 0.902 0.817
Sm9 Sm 0.615 0.465 0.158
Sm10 Sm 0.817 0.565 0.902
Sm11 Sm 0.842 0.385 0.535
Sm12 Sm 0.902 0.817 0.565
Tl1 Tl 0.500 0.500 0.500
In1 In 0.145 0.839 0.252
In2 In 0.161 0.748 0.855
In3 In 0.252 0.145 0.839
In4 In 0.748 0.855 0.161
In5 In 0.839 0.252 0.145
In6 In 0.855 0.161 0.748
```

## Properties
Formation energy from the elements, eV/f.u.: -2.8

[7]
A relaxed structure of PPdN2F. Source: Alexandria via LeMat-Bulk, functional GGA-PBE.

```
data_PPdN2F
_symmetry_space_group_name_H-M 'P 1'
_symmetry_Int_Tables_number 1
_symmetry_space_group_name_Hall 'P 1'
_cell_length_a 3.592
_cell_length_b 3.592
_cell_length_c 3.735
_cell_angle_alpha 90.00
_cell_angle_beta 90.00
_cell_angle_gamma 90.00
loop_
_atom_site_label
_atom_site_type_symbol
_atom_site_fract_x
_atom_site_fract_y
_atom_site_fract_z
P1 P 0.000 0.000 0.000
Pd1 Pd 0.500 0.500 0.500
N1 N 0.000 0.500 0.000
N2 N 0.500 0.000 0.000
F1 F 0.000 0.000 0.500
```

## Properties
Energy relative to the lowest polymorph listed for this composition, eV/f.u.: 0.00
Formation energy without anion corrections, eV/atom: 0.564